# 1
# DyYCd2Cu4

A relaxed structure of DyYCd2Cu4 (PBE, the Open Quantum Materials Database).

symmetry: P4/mmm (123)
formation enthalpy at 0 K: -0.21 eV per atom

a b c (Å): 4.683 4.683 6.622
angles (deg): 90.00 90.00 90.00
Positions (direct):
Cd: 0.500 0.500 0.000
Cd: 0.000 0.000 0.500
Cu: 0.000 0.500 0.250
Cu: 0.500 0.000 0.750
Cu: 0.500 0.000 0.250
Cu: 0.000 0.500 0.750
Dy: 0.000 0.000 0.000
Y: 0.500 0.500 0.500

# 2
# PmTcNO

A relaxed structure of PmTcNO (PBE, the Open Quantum Materials Database).

symmetry: P4/nmm (129)
energy above the most stable polymorph in this dataset: 0.716 eV/atom

a b c (Å): 4.921 4.921 4.513
angles (deg): 90.00 90.00 90.00
Site moments in Bohr magnetons follow the coordinates.
Positions (direct):
Pm: 0.500 0.500 0.500  -0.01
Pm: 0.000 0.000 0.500  -0.01
O: 0.500 0.500 0.000  0.05
O: 0.000 0.000 0.000  0.05
Tc: 0.500 0.000 0.000  2.03
Tc: 0.000 0.500 0.000  2.03
N: 0.000 0.500 0.499  0.13
N: 0.500 0.000 0.501  0.13

no.,magnetization (μB per atom)
1,0.002
2,0.615